ZnReBr3 | meta-GGA SCAN | PBEsol geometry

Output
Energy (eV/atom): -28.1065
Formation energy without anion corrections (meV per atom): 492

Structure (POSCAR):
```
ZnReBr3
1.0
5.027 0.000 0.000
0.000 5.027 0.000
0.000 0.000 5.027
Zn Br Re
1 3 1
direct
0.500 0.500 0.500
0.000 0.500 0.000
0.000 0.000 0.500
0.500 0.000 0.000
0.000 0.000 0.000
```

***

GeAsIr3 | meta-GGA SCAN | PBEsol geometry

Output
Energy (eV/atom): -49.3033
Energy relative to the elements (eV per atom): 1.212

Structure (POSCAR):
```
GeAsIr3
1.0
-3.770 -1.371 -2.139
1.671 -4.221 -0.240
-1.914 -0.986 4.004
As Ir Ge
1 3 1
direct
0.000 0.000 0.000
0.500 0.000 0.000
0.000 0.500 0.000
0.000 0.000 0.500
0.500 0.500 0.500
```

***

LiCa3RuO6 | meta-GGA SCAN | PBEsol geometry

Output
Energy (eV/atom): -11.9552
Formation energy without anion corrections (meV per atom): -2538

Structure (POSCAR):
```
LiCa3RuO6
1.0
6.373 0.004 0.004
-0.212 6.369 0.004
-0.212 -0.219 6.365
O Ca Li Ru
12 6 2 2
direct
0.421 0.209 0.551
0.291 0.079 0.949
0.079 0.949 0.291
0.921 0.051 0.709
0.449 0.579 0.791
0.579 0.791 0.449
0.551 0.421 0.209
0.709 0.921 0.051
0.791 0.449 0.579
0.949 0.291 0.079
0.051 0.709 0.921
0.209 0.551 0.421
0.608 0.250 0.892
0.892 0.608 0.250
0.392 0.750 0.108
0.750 0.108 0.392
0.108 0.392 0.750
0.250 0.892 0.608
0.750 0.750 0.750
0.250 0.250 0.250
0.500 0.500 0.500
0.000 0.000 0.000
```

***

DyCoSn2 | meta-GGA SCAN | PBEsol geometry

Output
Energy (eV/atom): -34.6190
Energy relative to the elements (eV per atom): -0.383

Structure (POSCAR):
```
DyCoSn2
1.0
4.274 0.000 0.000
0.000 4.379 0.000
-2.137 0.000 9.054
Dy Sn Co
2 4 2
direct
0.115 0.750 0.229
0.885 0.250 0.771
0.251 0.250 0.503
0.452 0.750 0.905
0.548 0.250 0.095
0.749 0.750 0.497
0.679 0.250 0.358
0.321 0.750 0.642
```

***

Number 1: theoretical density 6.4 g/cm³. Number 2: theoretical density 12.8 g/cm³. Number 3: theoretical density 4.2 g/cm³. Number 4: theoretical density 9.0 g/cm³.